Density functional theory data (PBE-GGA) for La2Pr3Ga2 after structural relaxation.

```
data_La2Pr3Ga2
_space_group_name_H-M_alt 'C 1 2/m 1'
_space_group_IT_number 12
_space_group_name_Hall '-C 2y'
_cell_length_a 12.615
_cell_length_b 4.279
_cell_length_c 9.056
_cell_angle_alpha 90.00
_cell_angle_beta 113.80
_cell_angle_gamma 90.00
loop_
_atom_site_label
_atom_site_type_symbol
_atom_site_fract_x
_atom_site_fract_y
_atom_site_fract_z
_atom_site_occupancy
La1 La 0.156 0.000 0.316 1
Pr1 Pr 0.000 0.500 0.500 1
Pr2 Pr 0.121 0.500 0.940 1
Ga1 Ga 0.170 0.000 0.718 1
```

- Crystal system: monoclinic
- Energy of formation: -292 meV/atom
- Total magnetic moment: 0.000 μB/cell